[1]
First-principles (PBE) data for crystalline Mg2ReSi at its relaxed geometry, as listed in the Alexandria database.

a = 3.397 Å, b = 4.044 Å, c = 9.080 Å
α = 90.00°, β = 90.00°, γ = 90.00°
Space group Immm (No. 71)
Symmetry-distinct sites (fractional):
1 Mg 0.000 0.000 0.249 x4
2 Re 0.000 0.500 0.000 x2
3 Si 0.000 0.500 0.500 x2

Summary:
As for the total magnetic moment: 0.00 Bohr magnetons per cell. The value obtained for the total energy is -0.1874 Ha/atom. The calculation puts the uncorrected formation energy at 16 kJ per mole of atoms.


[2]
First-principles (PBE) data for crystalline Sr3Mg3Tl8 at its relaxed geometry, as listed in the Alexandria database.

a = 5.091 Å, b = 11.130 Å, c = 14.718 Å
α = 90.00°, β = 90.00°, γ = 90.00°
Space group Immm (No. 71)
Symmetry-distinct sites (fractional):
1 Sr 0.000 0.000 0.000 x2
2 Sr 0.000 0.000 0.286 x4
3 Mg 0.000 0.168 0.500 x4
4 Mg 0.000 0.500 0.000 x2
5 Tl 0.000 0.298 0.138 x8
6 Tl 0.000 0.362 0.353 x8

Summary:
As for the total magnetic moment: 0.00 Bohr magnetons per cell. The value obtained for the total energy is -0.0834 Ha/atom. For the formation energy, the calculation gives -20.8 kJ/mol of atoms.


[3]
First-principles (PBE) data for crystalline Ho2BiF11 at its relaxed geometry, as listed in the Alexandria database.

a = 7.956 Å, b = 10.246 Å, c = 10.903 Å
α = 90.00°, β = 90.00°, γ = 90.00°
Space group Ibam (No. 72)
Symmetry-distinct sites (fractional):
1 Ho 0.136 0.182 0.000 x8
2 Bi 0.000 0.500 0.250 x4
3 F 0.000 0.000 0.000 x4
4 F 0.094 0.333 0.151 x16
5 F 0.128 0.223 0.500 x8
6 F 0.209 0.436 0.359 x16

Summary:
As for the total magnetic moment: 0.15 Bohr magnetons per cell. The value obtained for the total energy is -0.2017 Ha/atom. The calculation puts the uncorrected formation energy at -298 kJ per mole of atoms.


[4]
First-principles (PBE) data for crystalline La2CePmP4 at its relaxed geometry, as listed in the Alexandria database.

a = 7.249 Å, b = 4.189 Å, c = 7.267 Å
α = 90.00°, β = 109.39°, γ = 90.00°
Space group P2/m (No. 10)
Symmetry-distinct sites (fractional):
1 La 0.000 0.000 0.000 x1
2 La 0.500 0.500 0.000 x1
3 Ce 0.000 0.500 0.500 x1
4 Pm 0.500 0.000 0.500 x1
5 P 0.244 0.000 0.739 x2
6 P 0.249 0.500 0.259 x2

Summary:
As for the total magnetic moment: 0.48 Bohr magnetons per cell. The value obtained for the total energy is -0.2509 Ha/atom. For the formation energy, the calculation gives -150.0 kJ/mol of atoms.


> Which of these has the lowest total energy?

La2CePmP4


> What is the formula in the fourth record?

La2CePmP4